[1]
Material: LaNd4Sm3Te8
Method: DFT, GGA-PBE
State: relaxed

Results
Space-group type = R-3m (166)
Energy relative to the elements, uncorrected = -1.425 eV/atom
Crystal system = trigonal

Unit cell a=8.983 b=8.983 c=8.983 alpha=59.98 beta=59.98 gamma=59.98
Fractional coordinates of all 16 atoms:
La: 0.000 0.000 0.000
Nd: 0.000 0.000 0.500
Nd: 0.000 0.500 0.000
Nd: 0.500 0.000 0.000
Nd: 0.500 0.500 0.500
Sm: 0.000 0.500 0.500
Sm: 0.500 0.000 0.500
Sm: 0.500 0.500 0.000
Te: 0.252 0.252 0.252
Te: 0.252 0.252 0.745
Te: 0.252 0.745 0.252
Te: 0.255 0.748 0.748
Te: 0.745 0.252 0.252
Te: 0.748 0.255 0.748
Te: 0.748 0.748 0.255
Te: 0.748 0.748 0.748


[2]
Material: La2NdSm3Te6
Method: DFT, GGA-PBE
State: relaxed

Results
Space-group type = C2/m (12)
Energy relative to the elements, uncorrected = -1.463 eV/atom
Crystal system = monoclinic

Unit cell a=10.053 b=10.053 c=9.032 alpha=103.00 beta=103.00 gamma=25.79
Fractional coordinates of all 12 atoms:
La: 0.166 0.166 0.331
La: 0.834 0.834 0.669
Nd: 0.500 0.500 0.000
Sm: 0.167 0.167 0.833
Sm: 0.500 0.500 0.500
Sm: 0.833 0.833 0.167
Te: 0.003 0.003 0.748
Te: 0.333 0.333 0.923
Te: 0.335 0.335 0.412
Te: 0.665 0.665 0.588
Te: 0.667 0.667 0.077
Te: 0.997 0.997 0.252


[3]
Material: La4Nd3SmTe8
Method: DFT, GGA-PBE
State: relaxed

Results
Space-group type = R-3m (166)
Energy relative to the elements, uncorrected = -1.505 eV/atom
Crystal system = trigonal

Unit cell a=9.054 b=9.054 c=9.054 alpha=60.22 beta=60.22 gamma=60.22
Fractional coordinates of all 16 atoms:
La: 0.000 0.000 0.000
La: 0.000 0.500 0.500
La: 0.500 0.000 0.500
La: 0.500 0.500 0.000
Nd: 0.000 0.000 0.500
Nd: 0.000 0.500 0.000
Nd: 0.500 0.000 0.000
Sm: 0.500 0.500 0.500
Te: 0.248 0.248 0.248
Te: 0.250 0.747 0.747
Te: 0.253 0.253 0.750
Te: 0.253 0.750 0.253
Te: 0.747 0.250 0.747
Te: 0.747 0.747 0.250
Te: 0.750 0.253 0.253
Te: 0.752 0.752 0.752


[4]
Material: La3NdSm3Te8
Method: DFT, GGA-PBE
State: relaxed

Results
Space-group type = R-3m (166)
Energy relative to the elements, uncorrected = -1.515 eV/atom
Crystal system = trigonal

Unit cell a=9.021 b=9.021 c=9.021 alpha=59.59 beta=59.59 gamma=59.59
Fractional coordinates of all 15 atoms:
La: 0.000 0.500 0.500
La: 0.500 0.000 0.500
La: 0.500 0.500 0.000
Nd: 0.500 0.500 0.500
Sm: 0.000 0.000 0.500
Sm: 0.000 0.500 0.000
Sm: 0.500 0.000 0.000
Te: 0.239 0.755 0.755
Te: 0.245 0.245 0.761
Te: 0.245 0.761 0.245
Te: 0.247 0.247 0.247
Te: 0.753 0.753 0.753
Te: 0.755 0.239 0.755
Te: 0.755 0.755 0.239
Te: 0.761 0.245 0.245


[5]
Material: La2Nd3SmTe6
Method: DFT, GGA-PBE
State: relaxed

Results
Space-group type = C2/m (12)
Energy relative to the elements, uncorrected = -1.476 eV/atom
Crystal system = monoclinic

Unit cell a=10.085 b=10.085 c=9.065 alpha=102.76 beta=102.76 gamma=25.83
Fractional coordinates of all 12 atoms:
La: 0.166 0.166 0.333
La: 0.834 0.834 0.667
Nd: 0.168 0.168 0.835
Nd: 0.500 0.500 0.500
Nd: 0.832 0.832 0.165
Sm: 0.500 0.500 0.000
Te: 0.002 0.002 0.754
Te: 0.334 0.334 0.414
Te: 0.335 0.335 0.921
Te: 0.665 0.665 0.079
Te: 0.666 0.666 0.586
Te: 0.998 0.998 0.246


[6]
Material: LaNdSmTe3
Method: DFT, GGA-PBE
State: relaxed

Results
Space-group type = P2_1/m (11)
Energy relative to the elements, uncorrected = -1.333 eV/atom
Crystal system = monoclinic

Unit cell a=8.759 b=4.399 c=11.091 alpha=90.00 beta=105.38 gamma=90.00
Fractional coordinates of all 12 atoms:
La: 0.187 0.250 0.214
La: 0.813 0.750 0.786
Nd: 0.158 0.250 0.621
Nd: 0.842 0.750 0.379
Sm: 0.339 0.750 0.905
Sm: 0.661 0.250 0.095
Te: 0.088 0.250 0.894
Te: 0.224 0.750 0.441
Te: 0.474 0.750 0.200
Te: 0.526 0.250 0.800
Te: 0.776 0.250 0.559
Te: 0.912 0.750 0.106


[7]
Material: LaNdSm3Th
Method: DFT, GGA-PBE
State: relaxed

Results
Formation enthalpy at 0 K = 0.202 eV/f.u.
Space-group type = P2_1/m (11)
Crystal system = monoclinic

Unit cell a=8.154 b=5.159 c=10.325 alpha=90.00 beta=108.25 gamma=90.00
Fractional coordinates of all 12 atoms:
La: 0.177 0.250 0.296
La: 0.823 0.750 0.704
Nd: 0.498 0.750 0.869
Nd: 0.502 0.250 0.131
Sm: 0.171 0.750 0.045
Sm: 0.172 0.250 0.791
Sm: 0.178 0.750 0.543
Sm: 0.822 0.250 0.457
Sm: 0.828 0.750 0.209
Sm: 0.829 0.250 0.955
Th: 0.500 0.250 0.620
Th: 0.500 0.750 0.380


[8]
Material: LaNd4Sm2Th
Method: DFT, GGA-PBE
State: relaxed

Results
Formation enthalpy at 0 K = 0.276 eV/f.u.
Space-group type = P2/m (10)
Crystal system = monoclinic

Unit cell a=6.314 b=3.663 c=12.209 alpha=90.00 beta=100.05 gamma=90.00
Fractional coordinates of all 8 atoms:
La: 0.000 0.000 0.000
Nd: 0.242 0.000 0.744
Nd: 0.249 0.500 0.253
Nd: 0.751 0.500 0.747
Nd: 0.758 0.000 0.256
Sm: 0.500 0.000 0.500
Sm: 0.500 0.500 0.000
Th: 0.000 0.500 0.500


[9]
Material: La6NdSm2Th
Method: DFT, GGA-PBE
State: relaxed

Results
Formation enthalpy at 0 K = 1.822 eV/f.u.
Space-group type = C2/m (12)
Crystal system = monoclinic

Unit cell a=6.780 b=6.780 c=9.905 alpha=112.08 beta=112.08 gamma=60.83
Fractional coordinates of all 10 atoms:
La: 0.042 0.578 0.172
La: 0.146 0.146 0.415
La: 0.422 0.958 0.828
La: 0.578 0.042 0.172
La: 0.854 0.854 0.585
La: 0.958 0.422 0.828
Nd: 0.500 0.500 0.500
Sm: 0.437 0.437 0.811
Sm: 0.563 0.563 0.189
Th: 0.000 0.000 0.000


[10]
Material: La4Nd2SmTh
Method: DFT, GGA-PBE
State: relaxed

Results
Formation enthalpy at 0 K = 0.251 eV/f.u.
Space-group type = P2/m (10)
Crystal system = monoclinic

Unit cell a=6.389 b=3.674 c=12.217 alpha=90.00 beta=99.79 gamma=90.00
Fractional coordinates of all 8 atoms:
La: 0.242 0.000 0.245
La: 0.246 0.500 0.752
La: 0.754 0.500 0.248
La: 0.758 0.000 0.755
Nd: 0.500 0.000 0.000
Nd: 0.500 0.500 0.500
Sm: 0.000 0.000 0.500
Th: 0.000 0.500 0.000


[11]
Material: LaNd3SmTh
Method: DFT, GGA-PBE
State: relaxed

Results
Formation enthalpy at 0 K = 0.189 eV/f.u.
Space-group type = P2_1/m (11)
Crystal system = monoclinic

Unit cell a=8.209 b=5.180 c=10.352 alpha=90.00 beta=108.20 gamma=90.00
Fractional coordinates of all 12 atoms:
La: 0.180 0.250 0.296
La: 0.820 0.750 0.704
Nd: 0.173 0.250 0.792
Nd: 0.173 0.750 0.045
Nd: 0.180 0.750 0.544
Nd: 0.820 0.250 0.456
Nd: 0.827 0.250 0.955
Nd: 0.827 0.750 0.208
Sm: 0.498 0.750 0.870
Sm: 0.502 0.250 0.130
Th: 0.500 0.250 0.620
Th: 0.500 0.750 0.380


[12]
Material: La2NdSm4Th
Method: DFT, GGA-PBE
State: relaxed

Results
Formation enthalpy at 0 K = 0.201 eV/f.u.
Space-group type = P2/m (10)
Crystal system = monoclinic

Unit cell a=6.353 b=3.662 c=12.034 alpha=90.00 beta=100.10 gamma=90.00
Fractional coordinates of all 8 atoms:
La: 0.000 0.000 0.000
La: 0.000 0.500 0.500
Nd: 0.500 0.000 0.500
Sm: 0.254 0.500 0.248
Sm: 0.258 0.000 0.757
Sm: 0.742 0.000 0.243
Sm: 0.746 0.500 0.752
Th: 0.500 0.500 0.000


[13]
Material: La4NdSm2Th
Method: DFT, GGA-PBE
State: relaxed

Results
Formation enthalpy at 0 K = 0.268 eV/f.u.
Space-group type = P2/m (10)
Crystal system = monoclinic

Unit cell a=6.380 b=3.671 c=12.184 alpha=90.00 beta=99.83 gamma=90.00
Fractional coordinates of all 8 atoms:
La: 0.241 0.000 0.246
La: 0.248 0.500 0.751
La: 0.752 0.500 0.249
La: 0.759 0.000 0.754
Nd: 0.500 0.000 0.000
Sm: 0.000 0.000 0.500
Sm: 0.500 0.500 0.500
Th: 0.000 0.500 0.000


[14]
Material: LaNdSmTh2
Method: DFT, GGA-PBE
State: relaxed

Results
Formation enthalpy at 0 K = 2.150 eV/f.u.
Space-group type = Cmcm (63)
Crystal system = orthorhombic

Unit cell a=7.381 b=7.381 c=7.125 alpha=90.00 beta=90.00 gamma=108.50
Fractional coordinates of all 10 atoms:
La: 0.242 0.758 0.750
La: 0.758 0.242 0.250
Nd: 0.495 0.505 0.250
Nd: 0.505 0.495 0.750
Sm: 0.226 0.774 0.250
Sm: 0.774 0.226 0.750
Th: 0.183 0.183 0.000
Th: 0.183 0.183 0.500
Th: 0.817 0.817 0.000
Th: 0.817 0.817 0.500


[15]
Material: La2Nd5SmTh
Method: DFT, GGA-PBE
State: relaxed

Results
Formation enthalpy at 0 K = 1.285 eV/f.u.
Space-group type = Cmc2_1 (36)
Crystal system = orthorhombic

Unit cell a=10.714 b=10.714 c=10.755 alpha=90.00 beta=90.00 gamma=148.60
Fractional coordinates of all 18 atoms:
La: 0.116 0.884 0.500
La: 0.117 0.883 0.087
La: 0.883 0.117 0.587
La: 0.884 0.116 0.000
Nd: 0.016 0.984 0.790
Nd: 0.276 0.724 0.083
Nd: 0.294 0.706 0.472
Nd: 0.387 0.613 0.792
Nd: 0.481 0.519 0.510
Nd: 0.519 0.481 0.010
Nd: 0.613 0.387 0.292
Nd: 0.706 0.294 0.972
Nd: 0.724 0.276 0.583
Nd: 0.984 0.016 0.290
Sm: 0.408 0.592 0.225
Sm: 0.592 0.408 0.725
Th: 0.200 0.800 0.779
Th: 0.800 0.200 0.279


[16]
Material: LaNd2Sm5Th
Method: DFT, GGA-PBE
State: relaxed

Results
Formation enthalpy at 0 K = 1.400 eV/f.u.
Space-group type = Cmc2_1 (36)
Crystal system = orthorhombic

Unit cell a=10.570 b=10.570 c=10.666 alpha=90.00 beta=90.00 gamma=148.38
Fractional coordinates of all 18 atoms:
La: 0.086 0.914 0.500
La: 0.914 0.086 0.000
Nd: 0.384 0.616 0.782
Nd: 0.385 0.615 0.372
Nd: 0.615 0.385 0.872
Nd: 0.616 0.384 0.282
Sm: 0.020 0.980 0.790
Sm: 0.114 0.886 0.076
Sm: 0.205 0.795 0.758
Sm: 0.223 0.777 0.370
Sm: 0.484 0.516 0.077
Sm: 0.516 0.484 0.577
Sm: 0.777 0.223 0.870
Sm: 0.795 0.205 0.258
Sm: 0.886 0.114 0.576
Sm: 0.980 0.020 0.290
Th: 0.299 0.701 0.065
Th: 0.701 0.299 0.565


[17]
Material: LaNd2SmTl2
Method: DFT, GGA-PBE
State: relaxed

Results
Formation enthalpy at 0 K = -1.653 eV/f.u.
Space-group type = Pmc2_1 (26)
Crystal system = orthorhombic

Unit cell a=5.295 b=10.393 c=6.935 alpha=90.00 beta=90.00 gamma=90.00
Fractional coordinates of all 12 atoms:
La: 0.000 0.045 0.000
La: 0.000 0.955 0.500
Nd: 0.000 0.318 0.375
Nd: 0.000 0.682 0.875
Nd: 0.500 0.455 0.103
Nd: 0.500 0.545 0.603
Sm: 0.500 0.189 0.732
Sm: 0.500 0.811 0.232
Tl: 0.000 0.364 0.844
Tl: 0.000 0.636 0.344
Tl: 0.500 0.135 0.266
Tl: 0.500 0.865 0.766


[18]
Material: LaNdSm2Tl4
Method: DFT, GGA-PBE
State: relaxed

Results
Formation enthalpy at 0 K = -3.115 eV/f.u.
Space-group type = R-3m (166)
Crystal system = trigonal

Unit cell a=9.575 b=9.575 c=9.575 alpha=33.53 beta=33.53 gamma=33.53
Fractional coordinates of all 8 atoms:
La: 0.000 0.000 0.000
Nd: 0.500 0.500 0.500
Sm: 0.250 0.250 0.250
Sm: 0.750 0.750 0.750
Tl: 0.126 0.126 0.126
Tl: 0.376 0.376 0.376
Tl: 0.624 0.624 0.624
Tl: 0.874 0.874 0.874


[19]
Material: LaNdSmTl
Method: DFT, GGA-PBE
State: relaxed

Results
Formation enthalpy at 0 K = -0.307 eV/f.u.
Space-group type = F-43m (216)
Crystal system = cubic
Excess energy over the best structure of this formula in the dataset = 101.3 meV/atom

Unit cell a=5.660 b=5.660 c=5.660 alpha=60.00 beta=60.00 gamma=60.00
Fractional coordinates of all 4 atoms:
La: 0.000 0.000 0.000
Nd: 0.500 0.500 0.500
Sm: 0.750 0.750 0.750
Tl: 0.250 0.250 0.250


[20]
Material: LaNdSm2Tl2
Method: DFT, GGA-PBE
State: relaxed

Results
Formation enthalpy at 0 K = -1.656 eV/f.u.
Space-group type = Pmc2_1 (26)
Crystal system = orthorhombic

Unit cell a=5.254 b=10.394 c=6.915 alpha=90.00 beta=90.00 gamma=90.00
Fractional coordinates of all 12 atoms:
La: 0.000 0.046 0.000
La: 0.000 0.954 0.500
Nd: 0.500 0.189 0.740
Nd: 0.500 0.811 0.240
Sm: 0.000 0.316 0.384
Sm: 0.000 0.684 0.884
Sm: 0.500 0.456 0.110
Sm: 0.500 0.544 0.610
Tl: 0.000 0.371 0.852
Tl: 0.000 0.629 0.352
Tl: 0.500 0.140 0.270
Tl: 0.500 0.860 0.770


Number 1: theoretical density 7.09 Mg/m³. Number 2: theoretical density 7.04 Mg/m³. Number 3: theoretical density 6.80 Mg/m³. Number 4: theoretical density 6.56 Mg/m³. Number 5: theoretical density 6.90 Mg/m³. Number 6: theoretical density 6.58 Mg/m³. Number 7: theoretical density 7.78 Mg/m³. Number 8: theoretical density 7.46 Mg/m³. Number 9: theoretical density 7.01 Mg/m³. Number 10: theoretical density 7.21 Mg/m³. Number 11: theoretical density 7.58 Mg/m³. Number 12: theoretical density 7.56 Mg/m³. Number 13: theoretical density 7.28 Mg/m³. Number 14: theoretical density 8.10 Mg/m³. Number 15: theoretical density 7.13 Mg/m³. Number 16: theoretical density 7.50 Mg/m³. Number 17: theoretical density 8.59 Mg/m³. Number 18: theoretical density 9.75 Mg/m³. Number 19: theoretical density 8.26 Mg/m³. Number 20: theoretical density 8.73 Mg/m³.